(w)
Co2Br | GGA-PBEsol | relaxed

Cell lengths 3.5627, 3.5185, 8.2382 Å; angles 90.00, 102.49, 90.00 degrees
With the nearest neighbours (Å) after each atom.
Fractional coordinates of all 6 atoms:
1 Co 0.9514 0.2500 0.9028  8 Co 2.35-2.50, 2 Br 2.51
2 Co 0.5504 0.2500 0.1009  8 Co 2.39-2.50, 2 Br 2.47
3 Co 0.4496 0.7500 0.8991  8 Co 2.39-2.50, 2 Br 2.47
4 Co 0.0486 0.7500 0.0972  8 Co 2.35-2.50, 2 Br 2.51
5 Br 0.6584 0.7500 0.3168  4 Co 2.47-2.51
6 Br 0.3416 0.2500 0.6832  4 Co 2.47-2.51

Values from the calculation:
The magnetization is 3.520 μB/f.u.

---

(x)
Co2Br | GGA-PBEsol | relaxed

Cell lengths 3.0633, 5.7619, 6.2086 Å; angles 117.61, 90.00, 105.42 degrees
With the nearest neighbours (Å) after each atom.
Fractional coordinates of all 6 atoms:
1 Co 0.7464 0.4928 0.3057  3 Co 2.34-2.42, 3 Br 2.38-2.54
2 Co 0.2536 0.5072 0.6943  3 Co 2.34-2.42, 3 Br 2.38-2.54
3 Co 0.6656 0.3312 0.8680  5 Co 2.34-2.42
4 Co 0.3344 0.6688 0.1320  5 Co 2.34-2.42
5 Br 0.9396 0.8792 0.7058  3 Co 2.38-2.54
6 Br 0.0604 0.1208 0.2942  3 Co 2.38-2.54

Values from the calculation:
The magnetization is 3.733 μB/f.u.

---

(y)
Co2Br | GGA-PBEsol | relaxed

Cell lengths 3.3123, 4.1041, 8.5174 Å; angles 102.37, 90.00, 113.80 degrees
With the nearest neighbours (Å) after each atom.
Fractional coordinates of all 6 atoms:
1 Br 0.8091 0.6181 0.3109  5 Co 2.59-2.71
2 Co 0.4755 0.9510 0.1385  6 Co 2.29-2.47
3 Co 0.8380 0.6760 0.9380  8 Co 2.29-2.50
4 Co 0.5245 0.0490 0.8615  6 Co 2.29-2.47
5 Br 0.1909 0.3819 0.6891  5 Co 2.59-2.71
6 Co 0.1620 0.3240 0.0620  8 Co 2.29-2.50

Values from the calculation:
The magnetization is 3.788 μB/f.u.

---

Last place for stability: (x)

---

(w)
CrCoBr2 | GGA-PBEsol | relaxed

Cell lengths 3.6180, 3.6180, 8.0728 Å; angles 77.05, 77.05, 60.00 degrees
With the nearest neighbours (Å) after each atom.
Fractional coordinates of all 4 atoms:
1 Br 0.8932 0.8932 0.3204  1 Cr 2.50, 3 Co 2.52
2 Br 0.1068 0.1068 0.6796  1 Cr 2.50, 3 Co 2.52
3 Cr 0.0000 0.0000 0.0000  2 Br 2.50
4 Co 0.5000 0.5000 0.5000  6 Br 2.52

Values from the calculation:
The magnetization is 6.830 μB/f.u.

---

(x)
CrCoBr2 | GGA-PBEsol | relaxed

Cell lengths 4.7474, 4.7474, 4.7474 Å; angles 60.00, 60.00, 60.00 degrees
With the nearest neighbours (Å) after each atom.
Fractional coordinates of all 4 atoms:
1 Cr 0.2500 0.2500 0.2500  4 Co 2.91, 4 Br 2.91
2 Br 0.0000 0.0000 0.0000  4 Cr 2.91, 4 Br 2.91
3 Co 0.5000 0.5000 0.5000  4 Cr 2.91, 4 Br 2.91
4 Br 0.7500 0.7500 0.7500  4 Co 2.91, 4 Br 2.91

Values from the calculation:
The magnetization is 6.287 μB/f.u.

---

Last place for stability: (x)

---

(w)
CrCo2Br | GGA-PBEsol | relaxed

Cell lengths 2.8205, 4.1352, 4.2219 Å; angles 90.00, 90.00, 90.00 degrees
With the nearest neighbours (Å) after each atom.
Fractional coordinates of all 4 atoms:
1 Co 0.0000 0.0000 0.0000  4 Cr 2.50, 4 Co 2.54
2 Co 0.5000 0.0000 0.5000  4 Br 2.50, 4 Co 2.54
3 Br 0.0000 0.5000 0.5000  4 Co 2.50, 4 Cr 2.54
4 Cr 0.5000 0.5000 0.0000  4 Co 2.50, 4 Br 2.54

Values from the calculation:
The magnetization is 3.710 μB/f.u.

---

(x)
CrCo2Br | GGA-PBEsol | relaxed

Cell lengths 3.7194, 3.7194, 4.4788 Å; angles 114.53, 114.53, 90.00 degrees
With the nearest neighbours (Å) after each atom.
Fractional coordinates of all 4 atoms:
1 Co 0.2500 0.7500 0.5000  4 Br 2.60, 4 Cr 2.60, 4 Co 2.63
2 Co 0.7500 0.2500 0.5000  4 Cr 2.60, 4 Br 2.60, 4 Co 2.63
3 Cr 0.5000 0.5000 0.0000  8 Co 2.60, 4 Br 2.63
4 Br 0.0000 0.0000 0.0000  8 Co 2.60, 4 Cr 2.63

Values from the calculation:
The magnetization is 1.603 μB/f.u.

---

Last place for stability: (x)

---

(w)
CrCo2Br | GGA-PBEsol | relaxed

Cell lengths 4.0760, 4.0751, 4.0760 Å; angles 59.99, 90.00, 120.01 degrees
With the nearest neighbours (Å) after each atom.
Fractional coordinates of all 4 atoms:
1 Br 0.7500 0.5000 0.7500  4 Cr 2.50, 4 Co 2.50
2 Cr 0.5000 0.0000 0.5000  4 Br 2.50, 4 Co 2.50
3 Co 0.0000 0.0000 0.0000  4 Co 2.50, 4 Br 2.50
4 Co 0.2500 0.5000 0.2500  4 Co 2.50, 4 Cr 2.50

Values from the calculation:
The magnetization is 1.873 μB/f.u.

---

(x)
CrCo2Br | GGA-PBEsol | relaxed

Cell lengths 3.0240, 4.0995, 4.0995 Å; angles 90.00, 90.00, 90.00 degrees
With the nearest neighbours (Å) after each atom.
Fractional coordinates of all 4 atoms:
1 Cr 0.5000 0.5000 0.5000  8 Co 2.55
2 Co 0.0000 0.5000 0.0000  4 Cr 2.55, 4 Br 2.55
3 Br 0.5000 0.0000 0.0000  8 Co 2.55
4 Co 0.0000 0.0000 0.5000  4 Br 2.55, 4 Cr 2.55

Values from the calculation:
The magnetization is 4.917 μB/f.u.

---

Last place for stability: (w)

---

(w)
CoCu3Br | GGA-PBEsol | relaxed

Cell lengths 4.4131, 4.4131, 4.4131 Å; angles 90.00, 90.00, 90.00 degrees
With the nearest neighbours (Å) after each atom.
Fractional coordinates of all 5 atoms:
1 Cu 0.0000 0.5000 0.0000  2 Co 2.21
2 Cu 0.0000 0.0000 0.5000  2 Co 2.21
3 Cu 0.5000 0.0000 0.0000  2 Co 2.21
4 Co 0.0000 0.0000 0.0000  6 Cu 2.21
5 Br 0.5000 0.5000 0.5000  12 Cu 3.12

Values from the calculation:
The magnetization is 1.677 μB/f.u.

---

(x)
CoCu3Br | GGA-PBEsol | relaxed

Cell lengths 4.4869, 4.4869, 4.4869 Å; angles 90.00, 90.00, 90.00 degrees
With the nearest neighbours (Å) after each atom.
Fractional coordinates of all 5 atoms:
1 Cu 0.0000 0.5000 0.0000  2 Br 2.24
2 Cu 0.5000 0.0000 0.0000  2 Br 2.24
3 Co 0.5000 0.5000 0.5000  12 Cu 3.17
4 Br 0.0000 0.0000 0.0000  6 Cu 2.24
5 Cu 0.0000 0.0000 0.5000  2 Br 2.24

Values from the calculation:
The magnetization is 1.623 μB/f.u.

---

Last place for stability: (x)

---

(w)
InCoBr2 | GGA-PBEsol | relaxed

Cell lengths 3.5116, 5.3441, 5.3441 Å; angles 94.62, 102.75, 102.75 degrees
With the nearest neighbours (Å) after each atom.
Fractional coordinates of all 4 atoms:
1 Co 0.5000 0.0000 0.0000  4 Br 2.86
2 Br 0.0000 0.5000 0.0000  2 Co 2.86, 2 In 2.86
3 In 0.5000 0.5000 0.5000  4 Br 2.86
4 Br 0.0000 0.0000 0.5000  2 In 2.86, 2 Co 2.86

Values from the calculation:
The magnetization is 2.046 μB/f.u.

---

(x)
InCoBr2 | GGA-PBEsol | relaxed

Cell lengths 3.4043, 3.9267, 7.1791 Å; angles 105.74, 90.00, 90.00 degrees
With the nearest neighbours (Å) after each atom.
Fractional coordinates of all 4 atoms:
1 Br 0.5000 0.6049 0.3325  2 Co 2.45
2 In 0.5000 0.2640 0.6536  4 Co 2.64
3 Br 0.0000 0.9000 0.9267  1 Co 2.35
4 Co 0.0000 0.7310 0.5872  3 Br 2.35-2.45

Values from the calculation:
The magnetization is 0.812 μB/f.u.

---

Last place for stability: (w)

---

(w)
In2CoBr | GGA-PBEsol | relaxed

Cell lengths 3.2790, 3.3975, 8.0875 Å; angles 102.12, 101.70, 90.00 degrees
With the nearest neighbours (Å) after each atom.
Fractional coordinates of all 4 atoms:
1 Co 0.2958 0.7958 0.5915  6 In 2.57-2.59
2 In 0.9235 0.9235 0.8471  2 Co 2.57
3 In 0.7266 0.2266 0.4533  4 Co 2.59
4 Br 0.5541 0.5541 0.1081  6 In 3.11-3.16, 4 Br 3.28-3.40

Values from the calculation:
The magnetization is 0.633 μB/f.u.

---

(x)
In2CoBr | GGA-PBEsol | relaxed

Cell lengths 3.0769, 5.1739, 5.1739 Å; angles 89.98, 89.88, 89.88 degrees
With the nearest neighbours (Å) after each atom.
Fractional coordinates of all 4 atoms:
1 Br 0.5000 0.5000 0.5000  8 In 3.01, 2 Br 3.08
2 Co 0.5000 0.0000 0.0000  8 In 3.01, 2 Co 3.08
3 In 0.0000 0.0000 0.5000  4 Co 3.01, 4 Br 3.01, 2 In 3.08
4 In 0.0000 0.5000 0.0000  4 Br 3.01, 4 Co 3.01, 2 In 3.08

Values from the calculation:
The magnetization is 1.410 μB/f.u.

---

Last place for stability: (x)

---

(w)
Co2IrBr | GGA-PBEsol | relaxed

Cell lengths 3.7512, 3.7512, 4.6574 Å; angles 113.75, 113.75, 90.00 degrees
With the nearest neighbours (Å) after each atom.
Fractional coordinates of all 4 atoms:
1 Ir 0.5000 0.5000 0.0000  8 Co 2.65-2.68, 4 Br 2.68
2 Br 0.2500 0.7500 0.5000  8 Co 2.65-2.68, 4 Ir 2.68
3 Co 0.7500 0.2500 0.5000  4 Br 2.65, 4 Ir 2.68, 4 Co 2.68
4 Co 0.0000 0.0000 0.0000  4 Ir 2.65, 4 Br 2.68, 4 Co 2.68

Values from the calculation:
The magnetization is 3.776 μB/f.u.

---

(x)
Co2IrBr | GGA-PBEsol | relaxed

Cell lengths 3.9513, 4.4364, 3.9513 Å; angles 116.44, 90.00, 116.44 degrees
With the nearest neighbours (Å) after each atom.
Fractional coordinates of all 4 atoms:
1 Co 0.7500 0.5000 0.2500  4 Br 2.62, 4 Ir 2.62, 4 Co 2.79
2 Ir 0.5000 0.0000 0.5000  8 Co 2.62, 4 Br 2.79
3 Co 0.2500 0.5000 0.7500  4 Br 2.62, 4 Ir 2.62, 4 Co 2.79
4 Br 0.0000 0.0000 0.0000  8 Co 2.62, 4 Ir 2.79

Values from the calculation:
The magnetization is 3.575 μB/f.u.

---

(y)
Co2IrBr | GGA-PBEsol | relaxed

Cell lengths 2.7514, 4.4301, 4.4301 Å; angles 90.00, 90.00, 90.00 degrees
With the nearest neighbours (Å) after each atom.
Fractional coordinates of all 4 atoms:
1 Co 0.0000 0.0000 0.5000  4 Br 2.61, 4 Ir 2.61, 2 Co 2.75
2 Co 0.0000 0.5000 0.0000  4 Br 2.61, 4 Ir 2.61, 2 Co 2.75
3 Ir 0.5000 0.5000 0.5000  8 Co 2.61, 2 Ir 2.75
4 Br 0.5000 0.0000 0.0000  8 Co 2.61, 2 Br 2.75

Values from the calculation:
The magnetization is 3.380 μB/f.u.

---

Last place for stability: (w)

---

(w)
CoIr2Br | GGA-PBEsol | relaxed

Cell lengths 2.7896, 2.7896, 7.5221 Å; angles 90.00, 90.00, 90.00 degrees
With the nearest neighbours (Å) after each atom.
Fractional coordinates of all 4 atoms:
1 Ir 0.5000 0.5000 0.2231  8 Ir 2.66-2.79
2 Co 0.5000 0.5000 0.7603  4 Ir 2.60, 4 Br 2.62, 4 Co 2.79
3 Br 0.0000 0.0000 0.5303  4 Co 2.62, 4 Br 2.79
4 Ir 0.0000 0.0000 0.9863  4 Co 2.60, 8 Ir 2.66-2.79

Values from the calculation:
The magnetization is 1.364 μB/f.u.

---

(x)
CoIr2Br | GGA-PBEsol | relaxed

Cell lengths 2.7665, 4.5857, 5.2418 Å; angles 115.94, 105.30, 90.00 degrees
With the nearest neighbours (Å) after each atom.
Fractional coordinates of all 4 atoms:
1 Co 0.2489 0.7489 0.4979  2 Br 2.57, 6 Ir 2.59-2.68, 2 Co 2.77
2 Ir 0.7507 0.2507 0.5014  4 Co 2.68, 2 Br 2.70, 4 Ir 2.71-2.77
3 Ir 0.9919 0.9919 0.9838  2 Co 2.59, 4 Br 2.68, 4 Ir 2.71-2.77
4 Br 0.5085 0.5085 0.0170  2 Co 2.57, 6 Ir 2.68-2.70, 2 Br 2.77

Values from the calculation:
The magnetization is 1.532 μB/f.u.

---

Last place for stability: (x)

---

(w)
CoIr2Br | GGA-PBEsol | relaxed

Cell lengths 2.7865, 4.4143, 6.4689 Å; angles 86.02, 77.56, 71.60 degrees
With the nearest neighbours (Å) after each atom.
Fractional coordinates of all 4 atoms:
1 Co 0.8113 0.5471 0.8302  2 Br 2.41, 5 Ir 2.49-2.58
2 Br 0.4776 0.5253 0.5194  2 Co 2.41
3 Ir 0.2052 0.4399 0.1498  3 Ir 2.48-2.53, 2 Co 2.49, 2 Br 2.74
4 Ir 0.0059 0.9877 0.0006  3 Ir 2.48-2.53, 3 Co 2.55-2.58

Values from the calculation:
The magnetization is 1.305 μB/f.u.

---

(x)
CoIr2Br | GGA-PBEsol | relaxed

Cell lengths 3.9683, 3.9683, 4.5753 Å; angles 115.70, 115.70, 90.00 degrees
With the nearest neighbours (Å) after each atom.
Fractional coordinates of all 4 atoms:
1 Co 0.0000 0.0000 0.0000  8 Ir 2.68, 4 Br 2.81
2 Br 0.5000 0.5000 0.0000  8 Ir 2.68, 4 Co 2.81
3 Ir 0.7500 0.2500 0.5000  4 Co 2.68, 4 Br 2.68, 4 Ir 2.81
4 Ir 0.2500 0.7500 0.5000  4 Br 2.68, 4 Co 2.68, 4 Ir 2.81

Values from the calculation:
The magnetization is 1.854 μB/f.u.

---

Last place for stability: (x)

---

(w)
CoIrBr2 | GGA-PBEsol | relaxed

Cell lengths 3.2791, 3.2791, 7.9070 Å; angles 78.03, 78.03, 60.00 degrees
With the nearest neighbours (Å) after each atom.
Fractional coordinates of all 4 atoms:
1 Br 0.8966 0.8966 0.3101  1 Ir 2.38, 3 Co 2.39
2 Co 0.5000 0.5000 0.5000  6 Br 2.39
3 Br 0.1034 0.1034 0.6899  1 Ir 2.38, 3 Co 2.39
4 Ir 0.0000 0.0000 0.0000  2 Br 2.38

Values from the calculation:
The magnetization is 1.295 μB/f.u.

---

(x)
CoIrBr2 | GGA-PBEsol | relaxed

Cell lengths 3.3138, 3.3138, 7.7462 Å; angles 90.00, 90.00, 110.75 degrees
With the nearest neighbours (Å) after each atom.
Fractional coordinates of all 4 atoms:
1 Br 0.0000 0.0000 0.0690  2 Ir 2.59
2 Co 0.0000 0.0000 0.4662  2 Ir 2.29, 2 Br 2.44
3 Br 0.5000 0.5000 0.6660  2 Co 2.44
4 Ir 0.5000 0.5000 0.2988  2 Co 2.29

Values from the calculation:
The magnetization is 2.319 μB/f.u.

---

Last place for stability: (w)

---

(w)
KCoBr2 | GGA-PBEsol | relaxed

Cell lengths 3.7286, 3.7286, 7.5804 Å; angles 90.00, 90.00, 90.00 degrees
With the nearest neighbours (Å) after each atom.
Fractional coordinates of all 4 atoms:
1 Br 0.0000 0.0000 0.0023  1 Co 2.40
2 Co 0.0000 0.0000 0.3189  5 Br 2.40-2.68
3 Br 0.5000 0.5000 0.3818  4 Co 2.68
4 K 0.5000 0.5000 0.7969  5 Br 3.06-3.15

Values from the calculation:
The magnetization is 2.037 μB/f.u.

---

(x)
KCoBr2 | GGA-PBEsol | relaxed

Cell lengths 3.4874, 5.0942, 5.0942 Å; angles 90.00, 90.00, 90.00 degrees
With the nearest neighbours (Å) after each atom.
Fractional coordinates of all 4 atoms:
1 Br 0.0000 0.5000 0.0000  4 Co 3.09, 4 K 3.09
2 Co 0.5000 0.5000 0.5000  8 Br 3.09
3 K 0.5000 0.0000 0.0000  8 Br 3.09
4 Br 0.0000 0.0000 0.5000  4 K 3.09, 4 Co 3.09

Values from the calculation:
The magnetization is 2.138 μB/f.u.

---

Last place for stability: (x)